This record from Alexandria via LeMat-Bulk describes crystalline TmIn2WO8 at its relaxed geometry. The functional is PBE+U.

The structure in CIF format:
```
data_TmIn2WO8
_symmetry_space_group_name_H-M 'P 1'
_symmetry_Int_Tables_number 1
_symmetry_space_group_name_Hall 'P 1'
_cell_length_a 4.9342
_cell_length_b 4.9308
_cell_length_c 6.6231
_cell_angle_alpha 90.00
_cell_angle_beta 90.00
_cell_angle_gamma 90.96
loop_
_atom_site_label
_atom_site_fract_x
_atom_site_fract_y
_atom_site_fract_z
Tm1 0.0000 0.0000 0.5000
In1 0.5000 0.5000 0.7542
In2 0.5000 0.5000 0.2458
W1 0.0000 0.0000 0.0000
O1 0.1847 0.8142 0.2179
O2 0.7132 0.7143 0.0000
O3 0.8153 0.1858 0.2179
O4 0.8153 0.1858 0.7821
O5 0.2868 0.2857 0.0000
O6 0.1847 0.8142 0.7821
O7 0.6893 0.6908 0.5000
O8 0.3107 0.3092 0.5000
```

Output
Space group: No. 10
Calculated total energy in eV per atom: -6.738
Crystal system: monoclinic